# BeCd2FeOs (PBE, relaxed)
data_BeCd2FeOs
_chemical_formula_sum 'Be1 Cd2 Fe1 Os1'
_cell_length_a 4.8189
_cell_length_b 4.8189
_cell_length_c 3.8791
_cell_angle_alpha 90.00
_cell_angle_beta 90.00
_cell_angle_gamma 90.00
_space_group_name_H-M_alt 'P 1'
_space_group_IT_number 1
_space_group_name_Hall 'P 1'
loop_
_atom_site_label
_atom_site_type_symbol
_atom_site_fract_x
_atom_site_fract_y
_atom_site_fract_z
_atom_site_occupancy
Be1 Be 0.0000 0.0000 0.0000 1
Cd1 Cd 0.0000 0.5000 0.5000 1
Cd2 Cd 0.5000 0.0000 0.5000 1
Fe1 Fe 0.0000 0.0000 0.5000 1
Os1 Os 0.5000 0.5000 0.0000 1
# Energy relative to the elements = 1.4848 eV/atom
# Total magnetic moment = 3.24 μB/f.u.